# KCaTa2 (PBE, relaxed)
data_KCaTa2
_chemical_formula_sum 'K2 Ca2 Ta4'
_space_group_name_H-M_alt 'C 1 m 1'
_space_group_IT_number 8
_cell_length_a 9.370
_cell_length_b 3.034
_cell_length_c 8.711
_cell_angle_alpha 90.00
_cell_angle_beta 91.97
_cell_angle_gamma 90.00
loop_
_space_group_symop_operation_xyz
'x,y,z'
'x,-y,z'
'x+1/2,y+1/2,z'
'x+1/2,-y+1/2,z'
loop_
_atom_site_label
_atom_site_type_symbol
_atom_site_fract_x
_atom_site_fract_y
_atom_site_fract_z
K1 K 0.000 0.000 0.000
Ca1 Ca 0.267 0.500 0.377
Ta1 Ta 0.009 0.500 0.608
Ta2 Ta 0.242 0.000 0.698
# - total energy (eV/f.u.) = -23.340
# - formation energy from the elements (meV per atom) = 866.0
# - distance to the lowest polymorph of the same formula (eV per atom) = 0.257